(1)
A plane-wave DFT calculation with PBE was carried out for crystalline SnBrCl at its relaxed geometry.

Results
density = 3550 kg/m3
formation energy without anion corrections = -0.875 eV per atom

The structure in POSCAR format:
```
SnBrCl
1.0
6.461 -2.153 0.000
6.461 2.153 0.000
-1.454 0.000 7.873
Sn Br Cl
2 2 2
Direct
0.239 0.239 0.263
0.761 0.761 0.737
0.131 0.131 0.834
0.869 0.869 0.166
0.364 0.364 0.563
0.636 0.636 0.437
```


(2)
A plane-wave DFT calculation with PBE was carried out for crystalline SnBr3Cl at its relaxed geometry.

Results
density = 2712 kg/m3
formation energy without anion corrections = -0.727 eV per atom

The structure in POSCAR format:
```
SnBr3Cl
1.0
6.862 0.000 0.000
0.020 7.031 0.000
0.010 0.001 9.995
Sn Br Cl
2 6 2
Direct
0.000 0.000 0.000
0.305 0.499 0.499
0.395 0.840 0.502
0.435 0.347 0.294
0.436 0.340 0.700
0.869 0.841 0.798
0.870 0.849 0.205
0.910 0.342 0.997
0.338 0.969 0.000
0.967 0.470 0.499
```


(3)
A plane-wave DFT calculation with PBE was carried out for crystalline SnBrCl at its relaxed geometry.

Results
density = 3612 kg/m3
formation energy without anion corrections = -0.862 eV per atom

The structure in POSCAR format:
```
SnBrCl
1.0
4.348 0.000 0.000
-2.174 3.765 0.000
0.000 0.000 6.573
Sn Br Cl
1 1 1
Direct
0.000 0.000 0.000
0.667 0.333 0.743
0.333 0.667 0.219
```


(4)
A plane-wave DFT calculation with PBE was carried out for crystalline SnBrCl2 at its relaxed geometry.

Results
density = 3726 kg/m3
formation energy without anion corrections = -0.058 eV per atom

The structure in POSCAR format:
```
SnBrCl2
1.0
1.675 0.967 12.355
-1.675 0.967 12.355
0.000 -1.934 12.355
Sn Br Cl
1 1 2
Direct
0.000 0.000 0.000
0.500 0.500 0.500
0.064 0.064 0.064
0.936 0.936 0.936
```


(5)
A plane-wave DFT calculation with PBE was carried out for crystalline Sn3Br2Cl4 at its relaxed geometry.

Results
density = 3412 kg/m3
formation energy without anion corrections = -0.803 eV per atom

The structure in POSCAR format:
```
Sn3Br2Cl4
1.0
4.124 0.000 0.000
-2.062 3.572 0.000
0.000 0.000 21.732
Sn Br Cl
3 2 4
Direct
0.000 0.000 0.000
0.000 0.000 0.352
0.667 0.333 0.667
0.667 0.333 0.086
0.667 0.333 0.914
0.000 0.000 0.589
0.000 0.000 0.744
0.667 0.333 0.275
0.667 0.333 0.430
```


(6)
A plane-wave DFT calculation with PBE was carried out for crystalline SnBr3Cl at its relaxed geometry.

Results
density = 3922 kg/m3
formation energy without anion corrections = -0.174 eV per atom

The structure in POSCAR format:
```
SnBr3Cl
1.0
5.504 0.000 0.000
0.000 5.504 0.000
0.000 0.000 5.504
Sn Br Cl
1 3 1
Direct
0.000 0.000 0.000
0.000 0.000 0.500
0.000 0.500 0.000
0.500 0.000 0.000
0.500 0.500 0.500
```


(7)
A plane-wave DFT calculation with PBE was carried out for crystalline Sn6BrCl12 at its relaxed geometry.

Results
density = 3417 kg/m3
formation energy without anion corrections = -0.862 eV per atom

The structure in POSCAR format:
```
Sn6BrCl12
1.0
9.434 5.447 1.919
-9.434 5.447 1.919
0.000 -10.893 1.919
Sn Br Cl
6 1 12
Direct
0.078 0.390 0.390
0.390 0.078 0.390
0.390 0.390 0.078
0.610 0.610 0.922
0.610 0.922 0.610
0.922 0.610 0.610
0.500 0.500 0.500
0.000 0.413 0.587
0.000 0.587 0.413
0.060 0.060 0.368
0.060 0.368 0.060
0.368 0.060 0.060
0.413 0.000 0.587
0.413 0.587 0.000
0.587 0.000 0.413
0.587 0.413 0.000
0.632 0.940 0.940
0.940 0.632 0.940
0.940 0.940 0.632
```


(8)
A plane-wave DFT calculation with PBE was carried out for crystalline Sn2BrCl8 at its relaxed geometry.

Results
density = 1932 kg/m3
formation energy without anion corrections = -0.727 eV per atom

The structure in POSCAR format:
```
Sn2BrCl8
1.0
4.826 -5.180 0.000
4.826 5.180 0.000
-0.788 0.000 10.330
Sn Br Cl
2 1 8
Direct
0.221 0.221 0.191
0.779 0.779 0.809
0.000 0.000 0.500
0.093 0.726 0.773
0.274 0.907 0.227
0.275 0.275 0.977
0.423 0.423 0.326
0.577 0.577 0.674
0.725 0.725 0.023
0.726 0.093 0.773
0.907 0.274 0.227
```